1.
Sr6Cd2AuN | Alexandria | GGA-PBE | relaxed; space-group type = P2_1/c, No. 14
1.0
7.7193 0.0000 0.0000
0.0000 8.0895 0.0000
-7.4133 0.0000 11.1593
Sr Cd Au N
12 4 2 2
direct
0.1410 0.0148 0.2293
0.1410 0.4852 0.7293
0.2104 0.7199 0.0401
0.2104 0.7801 0.5401
0.3263 0.1766 0.0421
0.3263 0.3234 0.5421
0.6737 0.6766 0.4579
0.6737 0.8234 0.9579
0.7896 0.2199 0.4599
0.7896 0.2801 0.9599
0.8590 0.5148 0.2707
0.8590 0.9852 0.7707
0.2770 0.0720 0.7503
0.2770 0.4280 0.2503
0.7230 0.5720 0.7497
0.7230 0.9280 0.2497
0.5000 0.0000 0.5000
0.5000 0.5000 0.0000
0.0000 0.0000 0.0000
0.0000 0.5000 0.5000

2.
Ta2CdAuN | Alexandria | GGA-PBE | relaxed; space-group type = P4/mmm, No. 123; E above lowest polymorph = 2297.4 meV per atom
1.0
5.1861 0.0000 0.0000
0.0000 5.1861 0.0000
0.0000 0.0000 3.7597
Ta Cd Au N
2 1 1 1
direct
0.0000 0.5000 0.0000
0.5000 0.0000 0.0000
0.0000 0.0000 0.0000
0.5000 0.5000 0.5000
0.0000 0.0000 0.5000

3.
Ta2CdAuN | Alexandria | GGA-PBE | relaxed; space-group type = P4/mmm, No. 123; E above lowest polymorph = 0.0 meV per atom
1.0
4.1735 0.0000 0.0000
0.0000 4.1735 0.0000
0.0000 0.0000 4.7216
Ta Cd Au N
2 1 1 1
direct
0.0000 0.5000 0.0000
0.5000 0.0000 0.0000
0.0000 0.0000 0.5000
0.5000 0.5000 0.5000
0.0000 0.0000 0.0000

4.
CdTeAuN2 | Alexandria | GGA-PBE | relaxed; space-group type = P4/mmm, No. 123; E above lowest polymorph = 0.0 meV per atom
1.0
4.1764 0.0000 0.0000
0.0000 4.1764 0.0000
0.0000 0.0000 6.1823
Cd Te Au N
1 1 1 2
direct
0.0000 0.0000 0.0000
0.5000 0.5000 0.0000
0.5000 0.5000 0.5000
0.0000 0.5000 0.5000
0.5000 0.0000 0.5000

5.
CdTeAuN2 | Alexandria | GGA-PBE | relaxed; space-group type = P4/mmm, No. 123; E above lowest polymorph = 166.9 meV per atom
1.0
4.2202 0.0000 0.0000
0.0000 4.2202 0.0000
0.0000 0.0000 6.4916
Cd Te Au N
1 1 1 2
direct
0.0000 0.0000 0.0000
0.0000 0.0000 0.5000
0.5000 0.5000 0.5000
0.0000 0.5000 0.0000
0.5000 0.0000 0.0000

6.
ThCdAuN | Alexandria | GGA-PBE | relaxed; space-group type = P4/nmm, No. 129
1.0
4.1652 0.0000 0.0000
0.0000 4.1652 0.0000
0.0000 0.0000 9.9629
Th Cd Au N
2 2 2 2
direct
0.2500 0.2500 0.1122
0.7500 0.7500 0.8878
0.2500 0.7500 0.5000
0.7500 0.2500 0.5000
0.2500 0.2500 0.7047
0.7500 0.7500 0.2953
0.2500 0.7500 0.0000
0.7500 0.2500 0.0000

Record order is preserved below.
Calculated density: 4.582, 11.254, 13.837, 7.160, 6.679, 10.672 g cm⁻³
Record order is preserved below.
Formation energy without anion corrections: -0.43, 2.21, -0.09, 1.48, 1.65, -0.95 eV/atom